Entry 1:
Entry from the Alexandria database: a geometry-optimized FeSe structure (PBE-GGA).

Cell: 3.0331 3.3109 15.1947 Å, 90.00 90.00 90.00°
Closest atoms and distances in Å follow each position.
Space group Imma (No. 74)
Inequivalent atoms, fractional coordinates:
Fe  0.0000  0.2500  0.1864 (multiplicity 4)  4 Se 2.45, 2 Fe 2.46
Se  0.0000  0.2500  0.6214 (multiplicity 4)  4 Fe 2.45

## Properties
Calculated volume = 19.07 A^3/atom
E_tot = -5.9229 eV/atom
Density of states at the Fermi level = 6.167 states/eV/cell
Total moment = 8.8 μB/cell
Formation energy (no corrections) = 0.05 eV/atom



Entry 2:
Entry from the Alexandria database: a geometry-optimized TbScSiNi structure (PBE-GGA).

Cell: 6.7103 6.7103 6.7103 Å, 90.00 90.00 90.00°
Closest atoms and distances in Å follow each position.
Space group F-43m (No. 216)
Inequivalent atoms, fractional coordinates:
Tb  0.0000  0.0000  0.0000 (multiplicity 4)  4 Si 2.91, 4 Ni 2.91
Sc  0.0000  0.0000  0.5000 (multiplicity 4)  4 Ni 2.91, 4 Si 2.91
Si  0.2500  0.2500  0.2500 (multiplicity 4)  4 Sc 2.91, 4 Tb 2.91
Ni  0.2500  0.2500  0.7500 (multiplicity 4)  4 Tb 2.91, 4 Sc 2.91

## Properties
Calculated volume = 18.88 A^3/atom
E_tot = -6.0365 eV/atom
Density of states at the Fermi level = 4.636 states/eV/cell
Total moment = 0.0 μB/cell
Formation energy (no corrections) = -0.49 eV/atom



Entry 3:
Entry from the Alexandria database: a geometry-optimized BeCd4Sn2 structure (PBE-GGA).

Cell: 4.5582 4.5582 17.5959 Å, 90.00 90.00 90.00°
Closest atoms and distances in Å follow each position.
Space group I4/mmm (No. 139)
Inequivalent atoms, fractional coordinates:
Be  0.0000  0.0000  0.0000 (multiplicity 2)  6 Cd 2.28-2.42
Cd  0.0000  0.0000  0.1375 (multiplicity 4)  1 Be 2.42
Cd  0.0000  0.5000  0.0000 (multiplicity 4)  2 Be 2.28
Sn  0.0000  0.0000  0.3008 (multiplicity 4)  1 Cd 2.87

## Properties
Calculated volume = 26.11 A^3/atom
E_tot = -1.9193 eV/atom
Density of states at the Fermi level = 6.434 states/eV/cell
Total moment = 0.0 μB/cell
Formation enthalpy at 0 K = 27.0 kJ per mole of atoms